Record 1
An optimized crystal structure of ZnC2, computed with PBE.

The structure in CIF format:
```
data_ZnC2
_chemical_formula_sum 'Zn3 C6'
_space_group_name_H-M_alt 'R -3 m'
_space_group_IT_number 166
_space_group_name_Hall '-R 3 2"'
_cell_length_a 2.4776
_cell_length_b 2.4776
_cell_length_c 28.3788
_cell_angle_alpha 90.00
_cell_angle_beta 90.00
_cell_angle_gamma 120.00
loop_
_atom_site_label
_atom_site_type_symbol
_atom_site_fract_x
_atom_site_fract_y
_atom_site_fract_z
Zn1 Zn 0.0000 0.0000 0.0000
C1 C 0.0000 0.0000 0.1667
```

**Raw total energy**: -6.444 eV per atom



Record 2
An optimized crystal structure of Zn2C, computed with PBE.

The structure in CIF format:
```
data_Zn2C
_chemical_formula_sum 'Zn8 C4'
_space_group_name_H-M_alt 'C m m m'
_space_group_IT_number 65
_space_group_name_Hall '-C 2 2'
_cell_length_a 5.356
_cell_length_b 10.983
_cell_length_c 2.675
_cell_angle_alpha 90.00
_cell_angle_beta 90.00
_cell_angle_gamma 90.00
loop_
_atom_site_label
_atom_site_type_symbol
_atom_site_fract_x
_atom_site_fract_y
_atom_site_fract_z
Zn1 Zn 0.000 0.000 0.000
Zn2 Zn 0.000 0.202 0.500
Zn3 Zn 0.000 0.500 0.500
C1 C 0.000 0.349 0.000
```

**Raw total energy**: -2.721 eV per atom



Record 3
An optimized crystal structure of Zn3C5, computed with PBE.

The structure in CIF format:
```
data_Zn3C5
_chemical_formula_sum 'Zn6 C10'
_space_group_name_H-M_alt 'C m m m'
_space_group_IT_number 65
_space_group_name_Hall '-C 2 2'
_cell_length_a 4.901
_cell_length_b 6.635
_cell_length_c 5.168
_cell_angle_alpha 90.00
_cell_angle_beta 90.00
_cell_angle_gamma 90.00
loop_
_atom_site_label
_atom_site_type_symbol
_atom_site_fract_x
_atom_site_fract_y
_atom_site_fract_z
Zn1 Zn 0.000 0.000 0.000
Zn2 Zn 0.000 0.316 0.500
C1 C 0.000 0.500 0.000
C2 C 0.135 0.000 0.500
C3 C 0.250 0.250 0.000
```

**Raw total energy**: -4.199 eV per atom



Record 4
An optimized crystal structure of ZnC, computed with PBE.

The structure in CIF format:
```
data_ZnC
_chemical_formula_sum 'Zn2 C2'
_space_group_name_H-M_alt 'P 1 21/m 1'
_space_group_IT_number 11
_cell_length_a 3.189
_cell_length_b 2.552
_cell_length_c 6.587
_cell_angle_alpha 90.00
_cell_angle_beta 102.21
_cell_angle_gamma 90.00
loop_
_space_group_symop_operation_xyz
'x,y,z'
'-x,-y,-z'
'-x,y+1/2,-z'
'x,-y+1/2,z'
loop_
_atom_site_label
_atom_site_type_symbol
_atom_site_fract_x
_atom_site_fract_y
_atom_site_fract_z
Zn1 Zn 0.195 0.250 0.365
C1 C 0.023 0.250 0.044
```

**Raw total energy**: -4.672 eV per atom



Record 5
An optimized crystal structure of ZnC2, computed with PBE.

The structure in CIF format:
```
data_ZnC2
_chemical_formula_sum 'Zn2 C4'
_space_group_name_H-M_alt 'I m m m'
_space_group_IT_number 71
_space_group_name_Hall '-I 2 2'
_cell_length_a 3.167
_cell_length_b 4.389
_cell_length_c 4.830
_cell_angle_alpha 90.00
_cell_angle_beta 90.00
_cell_angle_gamma 90.00
loop_
_atom_site_label
_atom_site_type_symbol
_atom_site_fract_x
_atom_site_fract_y
_atom_site_fract_z
Zn1 Zn 0.000 0.000 0.000
C1 C 0.000 0.144 0.500
```

**Raw total energy**: -5.461 eV per atom



Record 6
An optimized crystal structure of Zn3C4, computed with PBE.

The structure in CIF format:
```
data_Zn3C4
_chemical_formula_sum 'Zn3 C4'
_space_group_name_H-M_alt 'P -4 3 m'
_space_group_IT_number 215
_space_group_name_Hall 'P -4 2 3'
_cell_length_a 4.260
_cell_length_b 4.260
_cell_length_c 4.260
_cell_angle_alpha 90.00
_cell_angle_beta 90.00
_cell_angle_gamma 90.00
loop_
_atom_site_label
_atom_site_type_symbol
_atom_site_fract_x
_atom_site_fract_y
_atom_site_fract_z
Zn1 Zn 0.000 0.000 0.500
C1 C 0.369 0.369 0.369
```

**Raw total energy**: -4.364 eV per atom



Record 7
An optimized crystal structure of ZnC, computed with PBE.

The structure in CIF format:
```
data_ZnC
_chemical_formula_sum 'Zn2 C2'
_space_group_name_H-M_alt 'P 1'
_space_group_IT_number 1
_cell_length_a 3.624
_cell_length_b 3.671
_cell_length_c 5.378
_cell_angle_alpha 101.32
_cell_angle_beta 90.07
_cell_angle_gamma 119.54
loop_
_space_group_symop_operation_xyz
'x,y,z'
loop_
_atom_site_label
_atom_site_type_symbol
_atom_site_fract_x
_atom_site_fract_y
_atom_site_fract_z
Zn1 Zn 0.000 0.000 0.000
Zn2 Zn 0.223 0.447 0.421
C1 C 0.445 0.047 0.629
C2 C 0.622 0.399 0.795
```

**Raw total energy**: -4.445 eV per atom



Record 8
An optimized crystal structure of ZnC2, computed with PBE.

The structure in CIF format:
```
data_ZnC2
_chemical_formula_sum 'Zn1 C2'
_space_group_name_H-M_alt 'P 4/m m m'
_space_group_IT_number 123
_space_group_name_Hall '-P 4 2'
_cell_length_a 3.024
_cell_length_b 3.024
_cell_length_c 3.968
_cell_angle_alpha 90.00
_cell_angle_beta 90.00
_cell_angle_gamma 90.00
loop_
_atom_site_label
_atom_site_type_symbol
_atom_site_fract_x
_atom_site_fract_y
_atom_site_fract_z
Zn1 Zn 0.000 0.000 0.000
C1 C 0.000 0.000 0.500
C2 C 0.500 0.500 0.000
```

**Raw total energy**: -3.489 eV per atom



Record 9
An optimized crystal structure of ZnC, computed with PBE.

The structure in CIF format:
```
data_ZnC
_chemical_formula_sum 'Zn3 C3'
_space_group_name_H-M_alt 'P 6/m m m'
_space_group_IT_number 191
_space_group_name_Hall '-P 6 2'
_cell_length_a 4.7544
_cell_length_b 4.7544
_cell_length_c 3.4969
_cell_angle_alpha 90.00
_cell_angle_beta 90.00
_cell_angle_gamma 120.00
loop_
_atom_site_label
_atom_site_type_symbol
_atom_site_fract_x
_atom_site_fract_y
_atom_site_fract_z
Zn1 Zn 0.0000 0.0000 0.0000
Zn2 Zn 0.3333 0.6667 0.5000
C1 C 0.0000 0.5000 0.0000
```

**Raw total energy**: -3.465 eV per atom



Record 10
An optimized crystal structure of ZnC, computed with PBE.

The structure in CIF format:
```
data_ZnC
_chemical_formula_sum 'Zn4 C4'
_space_group_name_H-M_alt 'C m c m'
_space_group_IT_number 63
_space_group_name_Hall '-C 2c 2'
_cell_length_a 2.751
_cell_length_b 9.601
_cell_length_c 3.330
_cell_angle_alpha 90.00
_cell_angle_beta 90.00
_cell_angle_gamma 90.00
loop_
_atom_site_label
_atom_site_type_symbol
_atom_site_fract_x
_atom_site_fract_y
_atom_site_fract_z
Zn1 Zn 0.000 0.129 0.250
C1 C 0.000 0.371 0.250
```

**Raw total energy**: -3.490 eV per atom



Record 11
An optimized crystal structure of Zn2C, computed with PBE.

The structure in CIF format:
```
data_Zn2C
_chemical_formula_sum 'Zn8 C4'
_space_group_name_H-M_alt 'C m c m'
_space_group_IT_number 63
_space_group_name_Hall '-C 2c 2'
_cell_length_a 3.463
_cell_length_b 13.255
_cell_length_c 3.397
_cell_angle_alpha 90.00
_cell_angle_beta 90.00
_cell_angle_gamma 90.00
loop_
_atom_site_label
_atom_site_type_symbol
_atom_site_fract_x
_atom_site_fract_y
_atom_site_fract_z
Zn1 Zn 0.000 0.076 0.250
Zn2 Zn 0.000 0.252 0.750
C1 C 0.000 0.356 0.250
```

**Raw total energy**: -2.691 eV per atom



Record 12
An optimized crystal structure of ZnC, computed with PBE.

The structure in CIF format:
```
data_ZnC
_chemical_formula_sum 'Zn4 C4'
_space_group_name_H-M_alt 'I 41/a m d'
_space_group_IT_number 141
_cell_length_a 3.038
_cell_length_b 3.038
_cell_length_c 9.749
_cell_angle_alpha 90.00
_cell_angle_beta 90.00
_cell_angle_gamma 90.00
loop_
_space_group_symop_operation_xyz
'x,y,z'
'-x,-y,-z'
'-y+1/4,x+3/4,z+1/4'
'y+1/4,-x+3/4,-z+1/4'
'-x+1/2,-y,z+1/2'
'x+1/2,y,-z+1/2'
'y+1/4,-x+1/4,z+3/4'
'-y+1/4,x+1/4,-z+3/4'
'x,-y,-z'
'-x,y,z'
'-y+1/4,-x+1/4,-z+3/4'
'y+1/4,x+1/4,z+3/4'
'-x+1/2,y,-z+1/2'
'x+1/2,-y,z+1/2'
'y+1/4,x+3/4,-z+1/4'
'-y+1/4,-x+3/4,z+1/4'
'x+1/2,y+1/2,z+1/2'
'-x+1/2,-y+1/2,-z+1/2'
'-y+3/4,x+1/4,z+3/4'
'y+3/4,-x+1/4,-z+3/4'
'-x,-y+1/2,z'
'x,y+1/2,-z'
'y+3/4,-x+3/4,z+1/4'
'-y+3/4,x+3/4,-z+1/4'
'x+1/2,-y+1/2,-z+1/2'
'-x+1/2,y+1/2,z+1/2'
'-y+3/4,-x+3/4,-z+1/4'
'y+3/4,x+3/4,z+1/4'
'-x,y+1/2,-z'
'x,-y+1/2,z'
'y+3/4,x+1/4,-z+3/4'
'-y+3/4,-x+1/4,z+3/4'
loop_
_atom_site_label
_atom_site_type_symbol
_atom_site_fract_x
_atom_site_fract_y
_atom_site_fract_z
Zn1 Zn 0.000 0.250 0.375
C1 C 0.000 0.250 0.875
```

**Raw total energy**: -3.398 eV per atom